Computed, not measured: crystalline Ba2Li2Pb3 at its relaxed geometry at the PBE level of DFT.

Results
Crystal system ... monoclinic
Total magnetic moment ... 0.00 μB/atom
Formation enthalpy at 0 K ... -0.384 eV/atom

Unit cell a=5.0049 b=6.4961 c=8.1552 alpha=111.09 beta=90.00 gamma=112.66
Element x y z (fractional)
1 Pb 0.5000 0.0000 0.0000
2 Pb 0.6144 0.2289 0.4429
3 Pb 0.3856 0.7711 0.5571
4 Ba 0.8476 0.6953 0.2245
5 Ba 0.1524 0.3047 0.7755
6 Li 0.1320 0.2640 0.2472
7 Li 0.8680 0.7360 0.7528


Computed, not measured: crystalline Tb12ThAl3 at its relaxed geometry at the PBE level of DFT.

Results
Crystal system ... tetragonal
Total magnetic moment ... 0.00 μB/atom
Formation enthalpy at 0 K ... -0.113 eV/atom

Unit cell a=4.8253 b=4.8253 c=19.5424 alpha=90.00 beta=90.00 gamma=90.00
Element x y z (fractional)
1 Al 0.0000 0.0000 0.2576
2 Al 0.0000 0.0000 0.5000
3 Al 0.0000 0.0000 0.7424
4 Tb 0.0000 0.5000 0.1330
5 Tb 0.0000 0.5000 0.3780
6 Tb 0.5000 0.0000 0.8670
7 Tb 0.5000 0.5000 0.5000
8 Tb 0.5000 0.5000 0.7429
9 Tb 0.5000 0.0000 0.6220
10 Tb 0.5000 0.5000 0.0000
11 Tb 0.0000 0.5000 0.8670
12 Tb 0.0000 0.5000 0.6220
13 Tb 0.5000 0.0000 0.1330
14 Tb 0.5000 0.0000 0.3780
15 Tb 0.5000 0.5000 0.2571
16 Th 0.0000 0.0000 0.0000


Computed, not measured: crystalline TlInSe2 at its relaxed geometry at the PBE level of DFT.

Results
Uncorrected energy ... -12.76 eV per formula unit
Crystal system ... tetragonal
Total magnetic moment ... 0.00 μB/atom

Unit cell a=8.2810 b=8.2810 c=8.2810 alpha=151.73 beta=151.73 gamma=40.41
Element x y z (fractional)
1 Tl 0.5000 0.5000 0.0000
2 Se 0.0000 0.0000 0.0000
3 Se 0.2500 0.7500 0.5000
4 In 0.7500 0.2500 0.5000


Computed, not measured: crystalline Cs3TlO at its relaxed geometry at the PBE level of DFT.

Results
Uncorrected energy ... -12.38 eV per formula unit
Crystal system ... monoclinic
Total magnetic moment ... 0.09 μB/atom

Unit cell a=4.0161 b=8.9197 c=12.6237 alpha=90.00 beta=90.00 gamma=76.92
Site moments in Bohr magnetons follow the coordinates.
Element x y z (fractional)
1 Tl 0.7541 0.4923 0.0000  0.08
2 Tl 0.2459 0.5077 0.5000  0.08
3 Cs 0.3848 0.2294 0.2397  0.01
4 Cs 0.6152 0.7706 0.7397  0.01
5 Cs 0.6152 0.7706 0.2603  0.01
6 Cs 0.3848 0.2294 0.7603  0.01
7 Cs 0.9871 0.0273 0.5000  0.01
8 Cs 0.0129 0.9727 0.0000  0.01
9 O 0.0000 0.0000 0.2500  0.01
10 O 0.0000 0.0000 0.7500  0.01


Computed, not measured: crystalline KMn2Ir at its relaxed geometry at the PBE level of DFT.

Results
Crystal system ... monoclinic
Total magnetic moment ... 2.06 μB/atom
Formation enthalpy at 0 K ... 0.553 eV/atom

Unit cell a=4.4414 b=4.4414 c=7.2571 alpha=85.57 beta=85.57 gamma=38.29
Site moments in Bohr magnetons follow the coordinates.
Element x y z (fractional)
1 K 0.2500 0.2500 0.2500  0.01
2 Mn 0.0199 0.0199 0.9000  3.63
3 Mn 0.4801 0.4801 0.6000  3.63
4 Ir 0.7500 0.7500 0.7500  0.34


Computed, not measured: crystalline TcGeAs2Se at its relaxed geometry at the PBE level of DFT.

Results
Uncorrected energy ... -25.16 eV per formula unit
Crystal system ... tetragonal
Total magnetic moment ... 0.00 μB/atom

Unit cell a=4.6596 b=4.6596 c=5.4907 alpha=90.00 beta=90.00 gamma=90.00
Element x y z (fractional)
1 As 0.0000 0.5000 0.0000
2 As 0.5000 0.0000 0.0000
3 Ge 0.5000 0.5000 0.5000
4 Tc 0.0000 0.0000 0.0000
5 Se 0.0000 0.0000 0.5000


Computed, not measured: crystalline Dy6TmTl2 at its relaxed geometry at the PBE level of DFT.

Results
Crystal system ... monoclinic
Total magnetic moment ... 0.00 μB/atom
Formation enthalpy at 0 K ... -0.146 eV/atom

Unit cell a=3.7272 b=6.6427 c=11.7869 alpha=74.64 beta=80.90 gamma=73.71
Element x y z (fractional)
1 Tl 0.3604 0.0776 0.2016
2 Tl 0.6396 0.9224 0.7984
3 Tm 0.0000 0.0000 0.0000
4 Dy 0.3097 0.7941 0.5865
5 Dy 0.9844 0.6866 0.3446
6 Dy 0.3170 0.4895 0.8766
7 Dy 0.0156 0.3134 0.6554
8 Dy 0.6903 0.2059 0.4135
9 Dy 0.6831 0.5105 0.1234


Computed, not measured: crystalline Na2TlAgI4 at its relaxed geometry at the PBE level of DFT.

Results
Uncorrected energy ... -20.75 eV per formula unit
Crystal system ... orthorhombic
Total magnetic moment ... 0.00 μB/atom

Unit cell a=4.6248 b=8.1634 c=16.4499 alpha=90.00 beta=90.00 gamma=106.46
Element x y z (fractional)
1 I 0.7347 0.4693 0.6145
2 I 0.0000 0.0000 0.0000
3 I 0.4554 0.9108 0.7500
4 I 0.7347 0.4693 0.8855
5 I 0.2653 0.5307 0.1145
6 I 0.0000 0.0000 0.5000
7 I 0.5446 0.0892 0.2500
8 I 0.2653 0.5307 0.3855
9 Tl 0.1332 0.2663 0.7500
10 Tl 0.8668 0.7337 0.2500
11 Na 0.6227 0.2455 0.4423
12 Na 0.3773 0.7545 0.5577
13 Na 0.6227 0.2455 0.0577
14 Na 0.3773 0.7545 0.9423
15 Ag 0.8484 0.6968 0.7500
16 Ag 0.1516 0.3032 0.2500